Entry a
First-principles (PBE) data for a relaxed structure of TaTeIr3, as listed in Alexandria.

**Calculated density**: 13.1 g/cm3

Cell lengths 4.8176, 4.8176, 4.8176 Å; angles 90.00, 90.00, 90.00 degrees
With the nearest neighbours (Å) after each atom.
Element x y z (fractional)
Ta 0.0000 0.0000 0.0000  6 Ir 2.41
Te 0.5000 0.5000 0.5000  12 Ir 3.41
Ir 0.0000 0.0000 0.5000  2 Ta 2.41
Ir 0.0000 0.5000 0.0000  2 Ta 2.41
Ir 0.5000 0.0000 0.0000  2 Ta 2.41



Entry b
First-principles (PBE) data for a relaxed structure of TaTeIr3, as listed in Alexandria.

**Calculated density**: 13.5 g/cm3

Cell lengths 4.7702, 4.7702, 4.7702 Å; angles 90.00, 90.00, 90.00 degrees
With the nearest neighbours (Å) after each atom.
Element x y z (fractional)
Ta 0.0000 0.0000 0.0000  12 Ir 3.37
Te 0.5000 0.5000 0.5000  6 Ir 2.39
Ir 0.0000 0.5000 0.5000  2 Te 2.39
Ir 0.5000 0.0000 0.5000  2 Te 2.39
Ir 0.5000 0.5000 0.0000  2 Te 2.39



Order from most stable to least stable according to the calculation: entry a, entry b